# CeNdGa6 (PBE, optimized geometry)
data_CeNdGa6
_chemical_formula_sum 'Ce1 Nd1 Ga6'
_cell_length_a 6.4188
_cell_length_b 6.4188
_cell_length_c 4.6032
_cell_angle_alpha 90.00
_cell_angle_beta 90.00
_cell_angle_gamma 120.00
_space_group_name_H-M_alt 'P -6 m 2'
_space_group_IT_number 187
_space_group_name_Hall 'P -6 2'
loop_
_atom_site_label
_atom_site_type_symbol
_atom_site_fract_x
_atom_site_fract_y
_atom_site_fract_z
Ce1 Ce 0.0000 0.0000 0.0000
Nd1 Nd 0.3333 0.6667 0.5000
Ga1 Ga 0.3768 0.1884 0.5000
Ga2 Ga 0.5232 0.0464 0.0000
# Energy of formation   -0.564 eV/atom
# Total magnetization   0.49 Bohr magnetons per cell
# Density of states at the Fermi level   5.80 states/eV/cell
# Uncorrected energy   -33.38 eV/cell

# Mn3AlCr (PBE, optimized geometry)
data_Mn3AlCr
_chemical_formula_sum 'Mn3 Al1 Cr1'
_cell_length_a 4.277
_cell_length_b 4.277
_cell_length_c 4.277
_cell_angle_alpha 90.00
_cell_angle_beta 90.00
_cell_angle_gamma 90.00
_space_group_name_H-M_alt 'P m -3 m'
_space_group_IT_number 221
_space_group_name_Hall '-P 4 2 3'
loop_
_atom_site_label
_atom_site_type_symbol
_atom_site_fract_x
_atom_site_fract_y
_atom_site_fract_z
Mn1 Mn 0.000 0.000 0.500
Al1 Al 0.500 0.500 0.500
Cr1 Cr 0.000 0.000 0.000
# Energy of formation   0.868 eV/atom
# Total magnetization   5.03 Bohr magnetons per cell
# Energy relative to the lowest polymorph listed for this composition   0.0 meV per atom
# Density of states at the Fermi level   3.94 states/eV/cell
# Uncorrected energy   -36.53 eV/cell